A plane-wave DFT calculation with PBE was carried out for an optimized crystal structure of K2CaCrRu.

## Properties
Formation energy from the elements = 1.24 eV per atom
Uncorrected energy = -16.9 eV/f.u.

a = 6.0863 Å, b = 6.0863 Å, c = 5.2287 Å
α = 90.00°, β = 90.00°, γ = 90.00°
Closest atoms and distances in Å follow each position.
Atoms (fractional coordinates):
K (0.0000, 0.5000, 0.0000)  2 Ru 3.04
K (0.5000, 0.0000, 0.0000)  2 Ru 3.04
Ca (0.0000, 0.0000, 0.5000)  2 Ru 2.61
Cr (0.5000, 0.5000, 0.5000)  8 K 4.01, 4 Ca 4.30
Ru (0.0000, 0.0000, 0.0000)  2 Ca 2.61